## NiPIrS2 (PBEsol)

Data for a relaxed NiPIrS2 crystal.

abc: 4.3453 4.7246 4.7246
angles: 90.00 90.00 90.00
Closest atoms and distances in Å follow each position.
Positions (direct):
Ni1 0.5000 0.5000 0.5000  8 S 3.21, 4 P 3.34
S1 0.0000 0.0000 0.5000  2 Ir 2.36
S2 0.0000 0.5000 0.0000  2 Ir 2.36
Ir1 0.0000 0.0000 0.0000  2 P 2.17, 4 S 2.36
P1 0.5000 0.0000 0.0000  2 Ir 2.17

Crystal system: tetragonal
Density of states at the Fermi level (states/eV/cell): 6.8
Formation energy (no corrections) (kcal/mol of atoms): 23.59
SG: P4/mmm

## NiSbP2Ir (PBEsol)

Data for a relaxed NiSbP2Ir crystal.

abc: 4.3710 4.3710 5.6577
angles: 90.00 90.00 90.00
Closest atoms and distances in Å follow each position.
Positions (direct):
Sb1 0.0000 0.0000 0.5000  2 Ir 2.83, 4 Ni 3.09
Ir1 0.0000 0.0000 0.0000  4 P 2.19
P1 0.0000 0.5000 0.0000  2 Ir 2.19
P2 0.5000 0.0000 0.0000  2 Ir 2.19
Ni1 0.5000 0.5000 0.5000  4 Sb 3.09

Crystal system: tetragonal
Density of states at the Fermi level (states/eV/cell): 4.3
Formation energy (no corrections) (kcal/mol of atoms): 20.41
SG: P4/mmm

## Ni2IrPb (PBEsol)

Data for a relaxed Ni2IrPb crystal.

abc: 2.9558 4.4278 4.9291
angles: 100.35 90.00 109.50
Closest atoms and distances in Å follow each position.
Positions (direct):
Ir1 0.0000 0.0000 0.5000  6 Ni 2.54
Ni1 0.7415 0.4830 0.7011  2 Ni 2.50, 3 Ir 2.54, 3 Pb 2.71-2.79
Ni2 0.2585 0.5170 0.2989  2 Ni 2.50, 3 Ir 2.54, 3 Pb 2.71-2.79
Pb1 0.5000 0.0000 0.0000  6 Ni 2.71-2.79, 4 Ir 2.87, 2 Pb 2.96

Crystal system: monoclinic
Density of states at the Fermi level (states/eV/cell): 5.2
SG: C2/m
Raw total energy (eV per cell): -24.68

## NiIrPb2 (PBEsol)

Data for a relaxed NiIrPb2 crystal.

abc: 3.1138 3.1138 9.9347
angles: 80.98 80.98 60.00
Closest atoms and distances in Å follow each position.
Positions (direct):
Ir1 0.5135 0.5135 0.4594  3 Ni 2.50
Ni1 0.2394 0.2394 0.2819  3 Ir 2.50, 3 Pb 2.78
Pb1 0.9784 0.9784 0.0649  3 Ni 2.78
Pb2 0.7687 0.7687 0.6938  3 Ir 2.91, 6 Pb 3.11

Crystal system: trigonal
Density of states at the Fermi level (states/eV/cell): 5.2
Relative energy among the computed polymorphs (eV per formula unit): 0.276
SG: R3m

## NiIrPb2 (PBEsol)

Data for a relaxed NiIrPb2 crystal.

abc: 4.5874 4.6915 4.6915
angles: 61.56 60.73 60.73
Closest atoms and distances in Å follow each position.
Positions (direct):
Ir1 0.0000 0.5000 0.5000  8 Pb 2.84-2.91
Ni1 0.5000 0.0000 0.0000  8 Pb 2.82-2.93
Pb1 0.2476 0.7524 0.7524  4 Ni 2.82-2.93, 4 Ir 2.84-2.91
Pb2 0.7524 0.2476 0.2476  4 Ni 2.82-2.93, 4 Ir 2.84-2.91

Crystal system: orthorhombic
Density of states at the Fermi level (states/eV/cell): 3.2
Relative energy among the computed polymorphs (eV per formula unit): 0.000
SG: Immm

## ZnNi2IrPb (PBEsol)

Data for a relaxed ZnNi2IrPb crystal.

abc: 4.5937 4.5937 5.0749
angles: 90.00 90.00 90.00
Closest atoms and distances in Å follow each position.
Positions (direct):
Pb1 0.0000 0.0000 0.5000  2 Ir 2.54
Ni1 0.0000 0.5000 0.0000  2 Ir 2.30
Ni2 0.5000 0.0000 0.0000  2 Ir 2.30
Zn1 0.5000 0.5000 0.5000  4 Pb 3.25, 8 Ni 3.42
Ir1 0.0000 0.0000 0.0000  4 Ni 2.30, 2 Pb 2.54

Crystal system: tetragonal
Density of states at the Fermi level (states/eV/cell): 5.9
SG: P4/mmm
Raw total energy (eV per cell): -22.21

## NiIrPd3 (PBEsol)

Data for a relaxed NiIrPd3 crystal.

abc: 4.3590 4.3590 4.3590
angles: 90.00 90.00 90.00
Closest atoms and distances in Å follow each position.
Positions (direct):
Ni1 0.0000 0.0000 0.0000  6 Pd 2.18
Ir1 0.5000 0.5000 0.5000  12 Pd 3.08
Pd1 0.0000 0.5000 0.0000  2 Ni 2.18
Pd2 0.0000 0.0000 0.5000  2 Ni 2.18
Pd3 0.5000 0.0000 0.0000  2 Ni 2.18

Crystal system: cubic
Density of states at the Fermi level (states/eV/cell): 10.1
SG: Pm-3m
Raw total energy (eV per cell): -27.16

## Ni2IrPd (PBEsol)

Data for a relaxed Ni2IrPd crystal.

abc: 4.1268 4.1268 4.1268
angles: 60.00 60.00 60.00
Closest atoms and distances in Å follow each position.
Positions (direct):
Ni1 0.2500 0.2500 0.2500  4 Ir 2.53, 4 Pd 2.53
Ni2 0.7500 0.7500 0.7500  4 Ir 2.53, 4 Pd 2.53
Ir1 0.5000 0.5000 0.5000  8 Ni 2.53
Pd1 0.0000 0.0000 0.0000  8 Ni 2.53

Crystal system: cubic
Density of states at the Fermi level (states/eV/cell): 6.4
SG: Fm-3m
Raw total energy (eV per cell): -27.41

Q: Which of these has the highest density of states at the Fermi level?
A: NiIrPd3

Copy entry 7 word for word.
## NiIrPd3 (PBEsol)

Data for a relaxed NiIrPd3 crystal.

abc: 4.3590 4.3590 4.3590
angles: 90.00 90.00 90.00
Closest atoms and distances in Å follow each position.
Positions (direct):
Ni1 0.0000 0.0000 0.0000  6 Pd 2.18
Ir1 0.5000 0.5000 0.5000  12 Pd 3.08
Pd1 0.0000 0.5000 0.0000  2 Ni 2.18
Pd2 0.0000 0.0000 0.5000  2 Ni 2.18
Pd3 0.5000 0.0000 0.0000  2 Ni 2.18

Crystal system: cubic
Density of states at the Fermi level (states/eV/cell): 10.1
SG: Pm-3m
Raw total energy (eV per cell): -27.16

Q: What is the formula in the fourth record?
A: NiIrPb2

Q: Among the records above, which one has the lowest density of states at the Fermi level?
A: number 5